1.
# GGA-PBE CsRePt, optimized geometry
# Space-group type: P-1 (2)
# DOS(E_F): 3.29 states/eV per cell
# Final energy: -6.021 eV per atom
# Magnetic moment: 0.00 μB/cell
# Volume: 99.0 Å³/f.u.
# DFT formation energy: 0.427 eV/atom
# E above lowest polymorph: 180.1 meV per atom
data_CsRePt
_chemical_formula_sum 'Cs2 Re2 Pt2'
_cell_length_a 9.365
_cell_length_b 4.647
_cell_length_c 4.647
_cell_angle_alpha 101.68
_cell_angle_beta 89.54
_cell_angle_gamma 90.54
_space_group_name_H-M_alt 'P 1'
_space_group_IT_number 1
_space_group_name_Hall 'P 1'
loop_
_atom_site_label
_atom_site_fract_x
_atom_site_fract_y
_atom_site_fract_z
Re1 0.690 0.005 0.363
Pt1 0.798 0.930 0.858
Cs1 0.019 0.472 0.318
Cs2 0.362 0.959 0.828
Pt2 0.583 0.500 0.288
Re2 0.690 0.425 0.783

---

2.
# GGA-PBE CsRePt, optimized geometry
# Space-group type: Pnma (62)
# DOS(E_F): 13.43 states/eV per cell
# Final energy: -5.417 eV per atom
# Magnetic moment: 0.00 μB/cell
# Volume: 109.9 Å³/f.u.
# DFT formation energy: 1.030 eV/atom
# E above lowest polymorph: 783.7 meV per atom
data_CsRePt
_chemical_formula_sum 'Cs4 Re4 Pt4'
_cell_length_a 11.162
_cell_length_b 4.456
_cell_length_c 8.839
_cell_angle_alpha 90.00
_cell_angle_beta 90.00
_cell_angle_gamma 90.00
_space_group_name_H-M_alt 'P 1'
_space_group_IT_number 1
_space_group_name_Hall 'P 1'
loop_
_atom_site_label
_atom_site_fract_x
_atom_site_fract_y
_atom_site_fract_z
Re1 0.543 0.750 0.383
Re2 0.043 0.750 0.117
Cs1 0.203 0.750 0.481
Cs2 0.297 0.250 0.981
Re3 0.957 0.250 0.883
Pt1 0.030 0.750 0.833
Cs3 0.797 0.250 0.519
Pt2 0.970 0.250 0.167
Pt3 0.530 0.750 0.667
Cs4 0.703 0.750 0.019
Pt4 0.470 0.250 0.333
Re4 0.457 0.250 0.617